DFT (PBE-GGA) results for an optimized crystal structure of BeCoB2N.

Results
Formation energy from raw total energies: 1.52 eV per atom
Uncorrected energy: -24.89 eV/cell

a b c (Å): 3.9002 3.9002 2.9204
angles (deg): 90.00 90.00 90.00
Closest atoms and distances in Å follow each position.
Space group P4/mmm (No. 123)
Unique sites:
Be: 0.0000 0.0000 0.0000 (multiplicity 1)  2 N 1.46
Co: 0.5000 0.5000 0.5000 (multiplicity 1)  8 B 2.44
B: 0.0000 0.5000 0.0000 (multiplicity 2)  2 Be 1.95
N: 0.0000 0.0000 0.5000 (multiplicity 1)  2 Be 1.46

DFT (PBE-GGA) results for an optimized crystal structure of LiTaBe2.

Results
Uncorrected energy: -74.52 eV/cell
E_form: 0.647 eV/atom

a b c (Å): 6.2720 6.2720 5.1617
angles (deg): 90.00 90.00 90.00
Closest atoms and distances in Å follow each position.
Space group I-42d (No. 122)
Unique sites:
Li: 0.0000 0.0000 0.0000 (multiplicity 4)  4 Be 2.19
Ta: 0.0000 0.0000 0.5000 (multiplicity 4)  4 Be 2.43, 2 Li 2.58
Be: 0.2218 0.2500 0.1250 (multiplicity 8)  2 Li 2.19, 2 Ta 2.43

DFT (PBE-GGA) results for an optimized crystal structure of La2SbRuN.

Results
Formation energy from raw total energies: -0.82 eV per atom
Uncorrected energy: -35.68 eV/cell

a b c (Å): 5.3691 5.3691 3.9366
angles (deg): 90.00 90.00 90.00
Closest atoms and distances in Å follow each position.
Space group P4/mmm (No. 123)
Unique sites:
La: 0.0000 0.5000 0.0000 (multiplicity 2)  2 N 2.68
Sb: 0.0000 0.0000 0.5000 (multiplicity 1)  8 La 3.33
Ru: 0.5000 0.5000 0.5000 (multiplicity 1)  2 N 1.97
N: 0.5000 0.5000 0.0000 (multiplicity 1)  2 Ru 1.97